(1)
{"formula": "SiTcPCl2", "functional": "PBE", "state": "optimized geometry", "formation_energy_uncorrected_ev_per_fu": 2.83, "crystal_system": "tetragonal", "lattice": [[4.7863, 0.0000, 0.0000], [0.0000, 4.7863, 0.0000], [0.0000, 0.0000, 4.7222]], "species": ["Si", "Tc", "P", "Cl", "Cl"], "fractional_positions": [[0.0000, 0.0000, 0.0000], [0.5000, 0.5000, 0.5000], [0.5000, 0.5000, 0.0000], [0.0000, 0.5000, 0.5000], [0.5000, 0.0000, 0.5000]]}



(2)
{"formula": "Tl4HgPb", "functional": "PBE", "state": "optimized geometry", "delta_e_f_ev_per_atom": 0.014, "crystal_system": "monoclinic", "lattice": [[7.9277, -1.6938, 0.0000], [7.9277, 1.6938, 0.0000], [-1.4542, 0.0000, 6.7310]], "species": ["Tl", "Tl", "Tl", "Tl", "Hg", "Pb"], "fractional_positions": [[0.1613, 0.1613, 0.3384], [0.1649, 0.1649, 0.8338], [0.8351, 0.8351, 0.1662], [0.8387, 0.8387, 0.6616], [0.5000, 0.5000, 0.5000], [0.5000, 0.5000, 0.0000]]}



Total DFT energy (no corrections) (computed, eV/atom): -4.412 -2.232
Total magnetization (computed, Bohr magnetons per cell): 2.1 0.0
Excess energy over the best structure of this formula in the dataset (computed, eV per formula unit): 0.00 0.00